[1]
First-principles (PBE) data for a relaxed structure of LiTm2Lu, as listed in the Alexandria database.

Cell: 5.4087 5.4087 3.7656 Å, 90.00 90.00 90.00°
Positions (direct):
Li 0.0000 0.0000 0.0000
Tm 0.0000 0.5000 0.5000
Tm 0.5000 0.0000 0.5000
Lu 0.5000 0.5000 0.0000

Computed properties:
- Distance to the lowest polymorph of the same formula: 0.074 eV/atom
- Space group: P4/mmm (123)

[2]
First-principles (PBE) data for a relaxed structure of LiTm2Lu, as listed in the Alexandria database.

Cell: 12.1064 12.1064 12.1064 Å, 16.11 16.11 16.11°
Positions (direct):
Li 0.0000 0.0000 0.0000
Tm 0.0892 0.0892 0.0892
Tm 0.9108 0.9108 0.9108
Lu 0.5000 0.5000 0.5000

Computed properties:
- Distance to the lowest polymorph of the same formula: 0.100 eV/atom
- Space group: R-3m (166)

[3]
First-principles (PBE) data for a relaxed structure of Li4TmLu, as listed in the Alexandria database.

Cell: 5.7757 5.7757 5.7757 Å, 60.00 60.00 60.00°
Positions (direct):
Li 0.1251 0.1251 0.1251
Li 0.1251 0.1251 0.6246
Li 0.1251 0.6246 0.1251
Li 0.6246 0.1251 0.1251
Tm 0.7500 0.7500 0.7500
Lu 0.5000 0.5000 0.5000

Computed properties:
- Space group: F-43m (216)

[4]
First-principles (PBE) data for a relaxed structure of LiTm2Lu, as listed in the Alexandria database.

Cell: 3.5356 3.5356 8.6510 Å, 90.00 90.00 90.00°
Positions (direct):
Li 0.0000 0.0000 0.0000
Tm 0.5000 0.5000 0.2264
Tm 0.5000 0.5000 0.7736
Lu 0.0000 0.0000 0.5000

Computed properties:
- Distance to the lowest polymorph of the same formula: 0.000 eV/atom
- Space group: P4/mmm (123)

[5]
First-principles (PBE) data for a relaxed structure of LiYTmLu, as listed in the Alexandria database.

Cell: 5.4079 5.4079 5.4079 Å, 60.00 60.00 60.00°
Positions (direct):
Li 0.0000 0.0000 0.0000
Y 0.2500 0.2500 0.2500
Tm 0.7500 0.7500 0.7500
Lu 0.5000 0.5000 0.5000

Computed properties:
- Space group: F-43m (216)

[6]
First-principles (PBE) data for a relaxed structure of LiTmLuZn, as listed in the Alexandria database.

Cell: 5.0192 5.0192 5.0192 Å, 60.00 60.00 60.00°
Positions (direct):
Li 0.0000 0.0000 0.0000
Tm 0.7500 0.7500 0.7500
Lu 0.2500 0.2500 0.2500
Zn 0.5000 0.5000 0.5000

Computed properties:
- Space group: F-43m (216)

[7]
First-principles (PBE) data for a relaxed structure of LiLu2V, as listed in the Alexandria database.

Cell: 10.3461 10.3461 10.3461 Å, 18.32 18.32 18.32°
Positions (direct):
Li 0.0000 0.0000 0.0000
Lu 0.2395 0.2395 0.2395
Lu 0.7605 0.7605 0.7605
V 0.5000 0.5000 0.5000

Computed properties:
- Distance to the lowest polymorph of the same formula: 0.155 eV/atom
- Space group: R-3m (166)

[8]
First-principles (PBE) data for a relaxed structure of LiLu2V, as listed in the Alexandria database.

Cell: 3.5011 3.5011 7.6075 Å, 90.00 90.00 90.00°
Positions (direct):
Li 0.0000 0.0000 0.0000
Lu 0.5000 0.5000 0.2799
Lu 0.5000 0.5000 0.7201
V 0.0000 0.0000 0.5000

Computed properties:
- Distance to the lowest polymorph of the same formula: 0.000 eV/atom
- Space group: P4/mmm (123)

[9]
First-principles (PBE) data for a relaxed structure of LiY2Lu, as listed in the Alexandria database.

Cell: 3.5941 3.5941 8.7669 Å, 90.00 90.00 90.00°
Positions (direct):
Li 0.0000 0.0000 0.0000
Y 0.5000 0.5000 0.2276
Y 0.5000 0.5000 0.7724
Lu 0.0000 0.0000 0.5000

Computed properties:
- Distance to the lowest polymorph of the same formula: 0.000 eV/atom
- Space group: P4/mmm (123)

[10]
First-principles (PBE) data for a relaxed structure of LiYLu, as listed in the Alexandria database.

Cell: 3.4377 3.4377 8.2704 Å, 90.00 90.00 120.00°
Positions (direct):
Li 0.0000 0.0000 0.0000
Y 0.3333 0.6667 0.6647
Lu 0.6667 0.3333 0.3258

Computed properties:
- Distance to the lowest polymorph of the same formula: 0.038 eV/atom
- Space group: P3m1 (156)

[11]
First-principles (PBE) data for a relaxed structure of LiYLu, as listed in the Alexandria database.

Cell: 6.7077 6.7077 6.7077 Å, 148.79 148.79 44.73°
Positions (direct):
Li 0.0000 0.0000 0.0000
Y 0.3413 0.3413 0.0000
Lu 0.6494 0.6494 0.0000

Computed properties:
- Distance to the lowest polymorph of the same formula: 0.000 eV/atom
- Space group: I4mm (107)

[12]
First-principles (PBE) data for a relaxed structure of LiY2Lu, as listed in the Alexandria database.

Cell: 5.4463 5.4463 5.4463 Å, 60.00 60.00 60.00°
Positions (direct):
Li 0.0000 0.0000 0.0000
Y 0.2500 0.2500 0.2500
Y 0.7500 0.7500 0.7500
Lu 0.5000 0.5000 0.5000

Computed properties:
- Distance to the lowest polymorph of the same formula: 0.094 eV/atom
- Space group: Fm-3m (225)

Formation energy per entry: 0.153 0.179 0.123 0.079 0.168 -0.115 0.348 0.193 0.068 0.131 0.093 0.162 eV/atom
E per entry: -3.691 -3.666 -2.651 -3.765 -4.174 -3.160 -4.671 -4.826 -4.773 -4.169 -4.207 -4.679 eV per atom
M_tot per entry: 0.00 0.00 0.00 0.00 0.00 0.00 1.90 2.68 0.00 0.00 0.00 0.00 μB/cell